A plane-wave DFT calculation with PBE was carried out for an optimized crystal structure of ErHgI3.

Geometry as extended XYZ:
```
10
Lattice="4.076 2.353 7.963 -4.076 2.353 7.963 0.000 -4.706 7.963" Properties=species:S:1:pos:R:3 pbc="T T T"
Er 0.000 0.000 3.977
Er 0.000 0.000 19.911
Hg 0.000 0.000 10.160
Hg 0.000 0.000 13.728
I 0.000 -2.351 5.915
I -2.036 1.175 5.915
I -2.036 -1.175 17.973
I 2.036 1.175 5.915
I 2.036 -1.175 17.973
I 0.000 2.351 17.973
```

Computed properties:
Space group   R-3m
Volume   45.822 A^3/atom
Distance to the lowest polymorph of the same formula   0.32 eV per formula unit
Energy relative to the elements, uncorrected   -23.69 kcal/mol of atoms
Electronic total energy   -29.30 eV/cell
DOS at the Fermi energy   0.0 states/eV/f.u.
Theoretical density   5.4 Mg/m³